A relaxed structure of Pu4BiTe2As, computed with PBE-GGA.

Results
- Raw formation energy: -80 kJ per mole of atoms

abc: 7.610 4.380 7.638
angles: 90.00 109.61 90.00
Space group P2/m (No. 10)
Unique sites:
Pu1 0.233 0.000 0.231 x2
Pu2 0.244 0.500 0.763 x2
Bi1 0.000 0.000 0.500 x1
Te1 0.500 0.000 0.000 x1
Te2 0.500 0.500 0.500 x1
As1 0.000 0.500 0.000 x1

***

A relaxed structure of RbBiAs, computed with PBE-GGA.

Results
- E_form: -0.2499 eV/atom
- E above lowest polymorph: 18.0 meV/atom

abc: 4.9825 4.9825 5.4788
angles: 90.00 90.00 120.00
Space group P-6m2 (No. 187)
Unique sites:
Rb1 0.0000 0.0000 0.0000 x1
Bi1 0.3333 0.6667 0.5000 x1
As1 0.6667 0.3333 0.5000 x1

***

A relaxed structure of Rb3BiAs, computed with PBE-GGA.

Results
- E_form: -0.1799 eV/atom
- E above lowest polymorph: 0.0 meV/atom

abc: 12.755 11.252 9.048
angles: 90.00 131.80 90.00
Space group C2/m (No. 12)
Unique sites:
Rb1 0.061 0.000 0.354 x4
Rb2 0.232 0.304 0.774 x8
Bi1 0.059 0.500 0.260 x4
As1 0.212 0.500 0.121 x4

***

A relaxed structure of RbBiAs3, computed with PBE-GGA.

Results
- E_form: 1.5728 eV/atom
- E above lowest polymorph: 1035.2 meV/atom

abc: 5.504 5.504 5.504
angles: 90.00 90.00 90.00
Space group Pm-3m (No. 221)
Unique sites:
Rb1 0.000 0.000 0.000 x1
Bi1 0.500 0.500 0.500 x1
As1 0.000 0.000 0.500 x3

***

A relaxed structure of RbBi2As, computed with PBE-GGA.

Results
- E_form: -0.0061 eV/atom

abc: 9.216 9.216 6.763
angles: 90.00 90.00 90.00
Space group I-42d (No. 122)
Unique sites:
Rb1 0.000 0.000 0.000 x4
Bi1 0.179 0.250 0.625 x8
As1 0.000 0.000 0.500 x4

***

A relaxed structure of RbBiAs, computed with PBE-GGA.

Results
- E_form: -0.1897 eV/atom
- E above lowest polymorph: 78.1 meV/atom

abc: 4.243 12.318 9.116
angles: 90.00 90.00 90.00
Space group Amm2 (No. 38)
Unique sites:
Rb1 0.000 0.000 0.000 x2
Rb2 0.500 0.000 0.464 x2
Bi1 0.500 0.242 0.180 x4
As1 0.000 0.226 0.375 x4

***

A relaxed structure of RbBiAs3, computed with PBE-GGA.

Results
- E_form: 0.5376 eV/atom
- E above lowest polymorph: 0.0 meV/atom

abc: 5.609 5.609 5.609
angles: 90.00 90.00 90.00
Space group Pm-3m (No. 221)
Unique sites:
Rb1 0.000 0.000 0.000 x1
Bi1 0.500 0.500 0.500 x1
As1 0.000 0.500 0.500 x3

***

A relaxed structure of Rb2BiAs, computed with PBE-GGA.

Results
- E_form: -0.1133 eV/atom
- E above lowest polymorph: 217.2 meV/atom

abc: 12.989 12.989 5.630
angles: 90.00 90.00 90.00
Space group I-42d (No. 122)
Unique sites:
Rb1 0.065 0.250 0.125 x8
Bi1 0.000 0.000 0.500 x4
As1 0.000 0.000 0.000 x4

***

A relaxed structure of Rb3BiAs, computed with PBE-GGA.

Results
- E_form: 0.0798 eV/atom
- E above lowest polymorph: 259.7 meV/atom

abc: 6.625 6.625 6.625
angles: 90.00 90.00 90.00
Space group Pm-3m (No. 221)
Unique sites:
Rb1 0.000 0.000 0.500 x3
Bi1 0.500 0.500 0.500 x1
As1 0.000 0.000 0.000 x1

***

A relaxed structure of RbBi2As2, computed with PBE-GGA.

Results
- E_form: 0.0325 eV/atom
- E above lowest polymorph: 197.8 meV/atom

abc: 8.749 8.749 3.956
angles: 90.00 90.00 90.00
Space group P4/mbm (No. 127)
Unique sites:
Rb1 0.000 0.000 0.000 x2
Bi1 0.134 0.366 0.500 x4
As1 0.141 0.641 0.000 x4

***

A relaxed structure of RbBi2As2, computed with PBE-GGA.

Results
- E_form: -0.1653 eV/atom
- E above lowest polymorph: 0.0 meV/atom

abc: 5.492 5.492 11.218
angles: 90.00 90.00 90.00
Space group I4/mmm (No. 139)
Unique sites:
Rb1 0.000 0.000 0.000 x2
Bi1 0.000 0.000 0.346 x4
As1 0.000 0.500 0.250 x4

***

A relaxed structure of RbBiAs, computed with PBE-GGA.

Results
- E_form: -0.2188 eV/atom
- E above lowest polymorph: 49.0 meV/atom

abc: 3.947 3.947 12.987
angles: 90.00 90.00 90.00
Space group I4mm (No. 107)
Unique sites:
Rb1 0.000 0.000 0.000 x2
Bi1 0.000 0.000 0.282 x2
As1 0.000 0.000 0.700 x2